No. 1
Entry from the Alexandria database: a relaxed Ba4Pb crystal (GGA-PBE).

Calculated values
Its polymorph energy (0 for the lowest one) is 0 meV/atom. Its volume is 327 Å³/cell. The calculation puts the magnetic moment at 1.00 μB/cell. The value obtained for the formation energy is -12.1 kJ per mole of atoms.

abc: 6.8914 6.8914 6.8914
angles: 90.00 90.00 90.00
With the nearest neighbours (Å) after each atom.
Element x y z (fractional)
Ba 0.0000 0.0000 0.0000  12 Ba 4.87
Ba 0.0000 0.5000 0.5000  2 Pb 3.45
Ba 0.5000 0.0000 0.5000  2 Pb 3.45
Ba 0.5000 0.5000 0.0000  2 Pb 3.45
Pb 0.5000 0.5000 0.5000  6 Ba 3.45

No. 2
Entry from the Alexandria database: a relaxed Ba3Pb5 crystal (GGA-PBE).

Calculated values
Its polymorph energy (0 for the lowest one) is 0 meV/atom. Its volume is 606 Å³/cell. The calculation puts the magnetic moment at 0.00 μB/cell. The value obtained for the formation energy is -48.9 kJ per mole of atoms.

abc: 7.3142 7.3142 11.5676
angles: 90.00 90.00 78.20
With the nearest neighbours (Å) after each atom.
Element x y z (fractional)
Ba 0.1368 0.8632 0.7500  9 Pb 3.57-3.96
Ba 0.2932 0.2932 0.0000  10 Pb 3.65-3.92
Ba 0.2932 0.2932 0.5000  10 Pb 3.65-3.92
Ba 0.7068 0.7068 0.0000  10 Pb 3.65-3.92
Ba 0.7068 0.7068 0.5000  10 Pb 3.65-3.92
Ba 0.8632 0.1368 0.2500  9 Pb 3.57-3.96
Pb 0.0127 0.5853 0.2500  3 Pb 3.21-3.23
Pb 0.1963 0.8037 0.0547  3 Pb 3.21-3.33, 1 Ba 3.57
Pb 0.1963 0.8037 0.4453  3 Pb 3.21-3.33, 1 Ba 3.57
Pb 0.4147 0.9873 0.2500  3 Pb 3.21-3.23
Pb 0.4609 0.5391 0.2500  4 Pb 3.23-3.33
Pb 0.5391 0.4609 0.7500  4 Pb 3.23-3.33
Pb 0.5853 0.0127 0.7500  3 Pb 3.21-3.23
Pb 0.8037 0.1963 0.5547  3 Pb 3.21-3.33, 1 Ba 3.57
Pb 0.8037 0.1963 0.9453  3 Pb 3.21-3.33, 1 Ba 3.57
Pb 0.9873 0.4147 0.7500  3 Pb 3.21-3.23